Entry 1:
# RbCoPd

RbCoPd after structural relaxation (PBE, OQMD via LeMat-Bulk).

## Properties
space group	F-43m (216)
total moment	2.02	μB/cell
excess energy over the best structure of this formula in the dataset	0.000	eV/atom

abc: 4.6860 4.6860 4.6860
angles: 60.00 60.00 60.00
Positions (direct):
Pd  0.2500  0.2500  0.2500
Rb  0.7500  0.7500  0.7500
Co  0.0000  0.0000  0.0000

---

Entry 2:
# La2Sm2CICl4

La2Sm2CICl4 after structural relaxation (PBE, OQMD via LeMat-Bulk).

## Properties
space group	C2/m (12)
total moment	0.39	μB/cell
energy	-53.52	eV/cell

abc: 9.1297 9.1297 8.6590
angles: 105.88 105.88 25.09
Each line ends with the local moment (μB).
Positions (direct):
I  0.5000  0.5000  0.5000  0.00
Cl  0.8372  0.8372  0.6657  0.00
Cl  0.1659  0.1659  0.8484  0.00
Cl  0.1628  0.1628  0.3343  0.00
Cl  0.8341  0.8341  0.1516  0.00
Sm  0.0000  0.0000  0.8054  0.02
Sm  0.0000  0.0000  0.1946  0.02
La  0.6493  0.6493  0.0880  0.07
La  0.3507  0.3507  0.9120  0.07
C  0.5000  0.5000  0.0000  0.00